Computed, not measured: SeS4F2 after structural relaxation at the PBE level of DFT.

Geometry as CIF:
```
data_SeS4F2
_symmetry_space_group_name_H-M 'I 4/m m m'
_symmetry_Int_Tables_number 139
_symmetry_space_group_name_Hall '-I 4 2'
_cell_length_a 4.6442
_cell_length_b 4.6442
_cell_length_c 17.2020
_cell_angle_alpha 90.00
_cell_angle_beta 90.00
_cell_angle_gamma 90.00
loop_
_atom_site_label
_atom_site_type_symbol
_atom_site_fract_x
_atom_site_fract_y
_atom_site_fract_z
Se1 Se 0.0000 0.0000 0.0000
S1 S 0.0000 0.0000 0.2514
S2 S 0.0000 0.5000 0.0000
F1 F 0.0000 0.0000 0.3454
```

Properties
The value obtained for the total energy is -3.187 eV per atom. As for the crystal system: tetragonal.

---

Computed, not measured: BeMoPb2 after structural relaxation at the PBE level of DFT.

Geometry as CIF:
```
data_BeMoPb2
_symmetry_space_group_name_H-M 'P 1 m 1'
_symmetry_Int_Tables_number 6
_cell_length_a 3.8901
_cell_length_b 3.8294
_cell_length_c 5.6681
_cell_angle_alpha 90.00
_cell_angle_beta 109.98
_cell_angle_gamma 90.00
loop_
_symmetry_equiv_pos_as_xyz
'x,y,z'
'x,-y,z'
loop_
_atom_site_label
_atom_site_type_symbol
_atom_site_fract_x
_atom_site_fract_y
_atom_site_fract_z
Be1 Be 0.0000 0.0000 0.0000
Mo1 Mo 0.8603 0.5000 0.7186
Pb1 Pb 0.2698 0.0000 0.5374
Pb2 Pb 0.5698 0.5000 0.1378
```

Properties
The value obtained for the energy relative to the elements is 0.49 eV/atom. As for the crystal system: monoclinic.

---

no.,density (kg/m³)
1,2195
2,10868